(1)
Computed, not measured: HfBPtAu after structural relaxation at the PBE-GGA level of DFT.

abc: 6.312 6.312 6.312
angles: 90.00 90.00 90.00
Fractional positions:
Hf  0.000  0.000  0.000
Hf  0.000  0.500  0.500
Hf  0.500  0.000  0.500
Hf  0.500  0.500  0.000
B  0.250  0.250  0.250
B  0.250  0.750  0.750
B  0.750  0.250  0.750
B  0.750  0.750  0.250
Pt  0.250  0.250  0.750
Pt  0.250  0.750  0.250
Pt  0.750  0.250  0.250
Pt  0.750  0.750  0.750
Au  0.000  0.000  0.500
Au  0.000  0.500  0.000
Au  0.500  0.000  0.000
Au  0.500  0.500  0.500

(2)
Computed, not measured: ZrInCuAg after structural relaxation at the PBE-GGA level of DFT.

abc: 6.670 6.670 6.670
angles: 90.00 90.00 90.00
Fractional positions:
Zr  0.000  0.000  0.000
Zr  0.000  0.500  0.500
Zr  0.500  0.000  0.500
Zr  0.500  0.500  0.000
In  0.250  0.250  0.250
In  0.250  0.750  0.750
In  0.750  0.250  0.750
In  0.750  0.750  0.250
Cu  0.000  0.000  0.500
Cu  0.000  0.500  0.000
Cu  0.500  0.000  0.000
Cu  0.500  0.500  0.500
Ag  0.250  0.250  0.750
Ag  0.250  0.750  0.250
Ag  0.750  0.250  0.250
Ag  0.750  0.750  0.750

Number 1: energy above the most stable polymorph in this dataset 17.4 meV/atom, DFT total energy -0.2358 hartree per atom. Number 2: energy above the most stable polymorph in this dataset 135.0 meV/atom, DFT total energy -0.1642 hartree per atom.